A plane-wave DFT calculation with SCAN was carried out for CdW2Se at its PBEsol-relaxed geometry.

Geometry as POSCAR:
```
CdW2Se
1.0
2.818 0.005 0.000
-1.034 2.622 0.000
0.000 0.000 9.992
Cd Se W
1 1 2
Direct
0.000 0.000 0.532
0.500 0.500 0.200
0.000 0.000 0.988
0.500 0.500 0.779
```

- energy above the most stable polymorph in this dataset (eV/atom) = 0.000
- energy (eV/atom) = -47.0490
- crystal system = orthorhombic
- raw formation energy (eV per formula unit) = 1.67

A plane-wave DFT calculation with SCAN was carried out for CsRbGe2Te at its PBEsol-relaxed geometry.

Geometry as POSCAR:
```
CsRbGe2Te
1.0
-2.385 -3.188 4.160
5.199 -2.017 1.435
0.729 4.785 4.084
Cs Ge Te Rb
1 2 1 1
Direct
0.000 0.000 0.000
0.000 0.500 0.000
0.500 0.000 0.000
0.500 0.500 0.500
0.000 0.000 0.500
```

- energy (eV/atom) = -25.6835
- crystal system = tetragonal
- raw formation energy (eV per formula unit) = 5.56

A plane-wave DFT calculation with SCAN was carried out for Re2BrN at its PBEsol-relaxed geometry.

Geometry as POSCAR:
```
Re2BrN
1.0
-1.334 -3.367 -2.019
2.713 -2.870 -1.265
0.110 -3.708 1.853
Re Br N
2 1 1
Direct
0.250 0.250 0.250
0.750 0.750 0.750
0.500 0.500 0.500
0.000 0.000 0.000
```

- energy (eV/atom) = -40.7282
- crystal system = cubic
- raw formation energy (eV per formula unit) = 8.03

A plane-wave DFT calculation with SCAN was carried out for K2LaSc at its PBEsol-relaxed geometry.

Geometry as POSCAR:
```
K2LaSc
1.0
6.097 0.000 0.000
3.049 5.281 0.000
3.049 1.760 4.979
K La Sc
2 1 1
Direct
0.250 0.250 0.250
0.750 0.750 0.750
0.000 0.000 0.000
0.500 0.500 0.500
```

- energy (eV/atom) = -17.6729
- crystal system = cubic
- formation energy from the elements (meV/atom) = 827